No. 1
VASP calculation (PBE-GGA) on a relaxed HgMoAs4 crystal.

Structure (CIF):
```
data_HgMoAs4
_cell_length_a 9.776
_cell_length_b 3.379
_cell_length_c 8.032
_cell_angle_alpha 90.00
_cell_angle_beta 114.95
_cell_angle_gamma 90.00
_space_group_name_H-M_alt 'C 1 m 1'
_space_group_IT_number 8
_space_group_name_Hall 'C -2y'
loop_
_atom_site_label
_atom_site_fract_x
_atom_site_fract_y
_atom_site_fract_z
Hg1 0.000 0.000 0.000
Mo1 0.303 0.000 0.374
As1 0.095 0.500 0.389
As2 0.241 0.000 0.670
As3 0.267 0.500 0.104
As4 0.469 0.500 0.625
```

Output
E_tot in eV per atom: -4.88

=====

No. 2
VASP calculation (PBE-GGA) on a relaxed HgMo2As crystal.

Structure (CIF):
```
data_HgMo2As
_cell_length_a 6.555
_cell_length_b 6.555
_cell_length_c 6.555
_cell_angle_alpha 90.00
_cell_angle_beta 90.00
_cell_angle_gamma 90.00
_space_group_name_H-M_alt 'F -4 3 m'
_space_group_IT_number 216
_space_group_name_Hall 'F -4 2 3'
loop_
_atom_site_label
_atom_site_fract_x
_atom_site_fract_y
_atom_site_fract_z
Hg1 0.000 0.000 0.000
Mo1 0.000 0.000 0.500
Mo2 0.250 0.250 0.250
As1 0.250 0.250 0.750
```

Output
E_tot in eV per atom: -5.96